Record 1
## Ba2CaMg12Au3 (GGA-PBE)

Data for an optimized crystal structure of Ba2CaMg12Au3.

Total magnetization in μB per cell: 0.0

Unit cell a=9.2031 b=9.2031 c=22.8761 alpha=90.00 beta=90.00 gamma=120.00
Last column: nearest neighbours and their distance in Å.
Space group R-3m (No. 166, hexagonal axes)
One atom of each set of equivalent atoms:
Ba  0.0000  0.0000  0.0873  6 Mg 3.53-3.55
Ca  0.0000  0.0000  0.5000  12 Mg 3.35-3.55
Mg  0.0884  0.5442  0.8838  1 Au 2.75
Mg  0.0940  0.5470  0.2869  2 Au 2.60
Au  0.0000  0.5000  0.0000  6 Mg 2.60-2.75



Record 2
## CoMoRu2 (GGA-PBE)

Data for an optimized crystal structure of CoMoRu2.

Total magnetization in μB per cell: 5.5

Unit cell a=2.7101 b=2.7101 c=26.1824 alpha=90.00 beta=90.00 gamma=120.00
Last column: nearest neighbours and their distance in Å.
Space group R-3m (No. 166, hexagonal axes)
One atom of each set of equivalent atoms:
Co  0.0000  0.0000  0.0000  6 Ru 2.62, 6 Co 2.71
Mo  0.0000  0.0000  0.5000  6 Mo 2.71, 6 Ru 2.75
Ru  0.0000  0.0000  0.2529  3 Co 2.62, 6 Ru 2.71, 3 Mo 2.75



no.,DFT formation energy (eV/f.u.)
1,-0.6
2,0.7